Ba3YAu | Alexandria via LeMat-Bulk | GGA-PBE | optimized geometry; distance to the lowest polymorph of the same formula = 0.00 eV per formula unit; symmetry = Pm-3m, No. 221; calculated formation energy = -0.0046 eV/atom; uncorrected energy = -3.107 eV per atom; magnetization = 0.609 μB/f.u.
1.0
6.366 0.000 0.000
0.000 6.366 0.000
0.000 0.000 6.366
Au Ba Y
1 3 1
Direct
0.000 0.000 0.000 Au
0.000 0.500 0.000 Ba
0.500 0.000 0.000 Ba
0.000 0.000 0.500 Ba
0.500 0.500 0.500 Y

***

BaYZn2Au5 | Alexandria via LeMat-Bulk | GGA-PBE | optimized geometry; symmetry = P4/mmm, No. 123; calculated formation energy = -0.4376 eV/atom; uncorrected energy = -3.473 eV per atom; magnetization = 0.000 μB/f.u.
1.0
-4.761 1.640 0.358
-1.679 -4.655 -1.000
0.009 -1.734 8.052
Au Ba Y Zn
5 1 1 2
Direct
0.500 0.000 0.793 Au
0.000 0.500 0.207 Au
0.500 0.500 0.500 Au
0.500 0.000 0.207 Au
0.000 0.500 0.793 Au
0.000 0.000 0.500 Ba
0.000 0.000 0.000 Y
0.500 0.500 0.169 Zn
0.500 0.500 0.831 Zn

***

BaYZn2Au | Alexandria via LeMat-Bulk | GGA-PBE | optimized geometry; symmetry = P4/mmm, No. 123; calculated formation energy = 0.1945 eV/atom; uncorrected energy = -2.648 eV per atom; magnetization = 0.113 μB/f.u.
1.0
5.091 0.000 0.000
0.000 5.882 0.000
0.000 0.000 5.091
Ba Zn Y Au
1 2 1 1
Direct
0.000 0.500 0.000 Ba
0.000 0.000 0.500 Zn
0.500 0.000 0.000 Zn
0.500 0.500 0.500 Y
0.000 0.000 0.000 Au

***

Ba5Zn2Au5 | Alexandria via LeMat-Bulk | GGA-PBE | optimized geometry; symmetry = P-1, No. 2; calculated formation energy = -0.5913 eV/atom; uncorrected energy = -2.970 eV per atom; magnetization = 0.000 μB/f.u.
1.0
4.383 -0.003 0.992
2.134 8.674 0.726
0.035 -0.268 10.082
Ba Au Zn
5 5 2
Direct
0.624 0.073 0.680 Ba
0.681 0.718 0.921 Ba
0.000 0.500 0.500 Ba
0.376 0.927 0.320 Ba
0.319 0.282 0.079 Ba
0.702 0.242 0.354 Au
0.929 0.321 0.822 Au
0.071 0.679 0.178 Au
0.298 0.758 0.646 Au
0.000 0.000 0.000 Au
0.383 0.472 0.763 Zn
0.617 0.528 0.237 Zn

***

Ba2ZnAu6 | Alexandria via LeMat-Bulk | GGA-PBE | optimized geometry; symmetry = P-3m1, No. 164; calculated formation energy = -0.4675 eV/atom; uncorrected energy = -3.221 eV per atom; magnetization = 0.000 μB/f.u.
1.0
6.019 -0.032 -0.019
0.037 6.460 0.007
0.037 3.224 5.597
Ba Au Zn
2 6 1
Direct
0.175 0.334 0.334 Ba
0.825 0.666 0.666 Ba
0.316 0.351 0.825 Au
0.684 0.649 0.175 Au
0.684 0.175 0.649 Au
0.316 0.825 0.351 Au
0.315 0.824 0.824 Au
0.685 0.176 0.176 Au
0.000 0.000 0.000 Zn

***

Ba3ZnAu | Alexandria via LeMat-Bulk | GGA-PBE | optimized geometry; distance to the lowest polymorph of the same formula = 1.10 eV per formula unit; symmetry = Pm-3m, No. 221; calculated formation energy = -0.1379 eV/atom; uncorrected energy = -2.202 eV per atom; magnetization = 0.000 μB/f.u.
1.0
-0.130 3.724 5.176
1.903 -4.919 3.586
6.086 1.618 -1.011
Ba Au Zn
3 1 1
Direct
0.000 0.000 0.500 Ba
0.500 0.000 0.000 Ba
0.000 0.500 0.000 Ba
0.000 0.000 0.000 Au
0.500 0.500 0.500 Zn

***

BaZn2Au | Alexandria via LeMat-Bulk | GGA-PBE | optimized geometry; symmetry = I-4m2, No. 119; calculated formation energy = -0.1468 eV/atom; uncorrected energy = -2.084 eV per atom; magnetization = 0.000 μB/f.u.
1.0
-3.914 -3.296 1.114
2.926 -3.882 -1.947
1.967 2.991 3.822
Au Zn Ba
1 2 1
Direct
0.500 0.500 0.000 Au
0.250 0.750 0.500 Zn
0.000 0.000 0.000 Zn
0.750 0.250 0.500 Ba

***

BaZn12Au4 | Alexandria via LeMat-Bulk | GGA-PBE | optimized geometry; symmetry = Im-3, No. 204; calculated formation energy = -0.0294 eV/atom; uncorrected energy = -1.813 eV per atom; magnetization = 0.000 μB/f.u.
1.0
7.790 0.000 0.000
-2.597 7.345 0.000
-2.597 -3.672 6.361
Zn Au Ba
12 4 1
Direct
0.152 0.359 0.511 Zn
0.511 0.152 0.359 Zn
0.359 0.511 0.152 Zn
0.641 0.793 0.152 Zn
0.793 0.152 0.641 Zn
0.848 0.359 0.207 Zn
0.359 0.207 0.848 Zn
0.489 0.848 0.641 Zn
0.152 0.641 0.793 Zn
0.207 0.848 0.359 Zn
0.641 0.489 0.848 Zn
0.848 0.641 0.489 Zn
0.000 0.000 0.500 Au
0.500 0.500 0.500 Au
0.000 0.500 0.000 Au
0.500 0.000 0.000 Au
0.000 0.000 0.000 Ba

***

BaZnAu2 | Alexandria via LeMat-Bulk | GGA-PBE | optimized geometry; symmetry = F-43m, No. 216; calculated formation energy = -0.3039 eV/atom; uncorrected energy = -2.742 eV per atom; magnetization = 0.000 μB/f.u.
1.0
5.240 0.000 0.000
2.620 4.538 0.000
2.620 1.513 4.279
Zn Ba Au
1 1 2
Direct
0.750 0.750 0.750 Zn
0.500 0.500 0.500 Ba
0.250 0.250 0.250 Au
0.000 0.000 0.000 Au

***

Ba3Zn2Au4 | Alexandria via LeMat-Bulk | GGA-PBE | optimized geometry; symmetry = C2/m, No. 12; calculated formation energy = -0.6176 eV/atom; uncorrected energy = -2.998 eV per atom; magnetization = 0.000 μB/f.u.
1.0
-0.142 4.682 -0.493
-5.875 -2.378 1.616
4.443 1.000 8.219
Au Zn Ba
4 2 3
Direct
0.286 0.571 0.933 Au
0.935 0.870 0.612 Au
0.065 0.130 0.388 Au
0.714 0.429 0.067 Au
0.385 0.770 0.714 Zn
0.615 0.230 0.286 Zn
0.338 0.676 0.328 Ba
0.000 0.000 0.000 Ba
0.662 0.324 0.672 Ba

***

BaZn6Au4 | Alexandria via LeMat-Bulk | GGA-PBE | optimized geometry; symmetry = P-6m2, No. 187; calculated formation energy = -0.3266 eV/atom; uncorrected energy = -2.388 eV per atom; magnetization = 0.000 μB/f.u.
1.0
4.343 0.000 0.000
0.000 6.556 -3.785
0.000 0.000 7.570
Au Ba Zn
4 1 6
Direct
0.000 0.333 0.667 Au
0.500 0.800 0.599 Au
0.500 0.401 0.200 Au
0.500 0.800 0.200 Au
0.000 0.000 0.000 Ba
0.000 0.538 0.076 Zn
0.500 0.209 0.791 Zn
0.500 0.209 0.418 Zn
0.000 0.538 0.462 Zn
0.500 0.582 0.791 Zn
0.000 0.924 0.462 Zn

***

BaZn2Au | Alexandria via LeMat-Bulk | GGA-PBE | optimized geometry; symmetry = Pm, No. 6; calculated formation energy = -0.2712 eV/atom; uncorrected energy = -2.208 eV per atom; magnetization = 0.000 μB/f.u.
1.0
4.256 0.000 0.000
0.000 4.232 -0.433
0.000 0.664 6.050
Ba Zn Au
1 2 1
Direct
0.500 0.873 0.709 Ba
0.000 0.880 0.176 Zn
0.500 0.370 0.177 Zn
0.000 0.377 0.438 Au

***

Ba3Zn2Au | Alexandria via LeMat-Bulk | GGA-PBE | optimized geometry; symmetry = P2_1/m, No. 11; calculated formation energy = -0.2442 eV/atom; uncorrected energy = -2.176 eV per atom; magnetization = 0.000 μB/f.u.
1.0
-5.650 -1.341 2.161
-2.871 -1.009 -8.132
-0.085 -8.900 1.135
Ba Au Zn
6 2 4
Direct
0.114 0.500 0.700 Ba
0.886 0.000 0.300 Ba
0.498 0.750 0.001 Ba
0.502 0.250 0.999 Ba
0.886 0.500 0.300 Ba
0.114 0.000 0.700 Ba
0.002 0.250 0.000 Au
0.998 0.750 0.000 Au
0.632 0.250 0.596 Zn
0.639 0.750 0.597 Zn
0.368 0.750 0.404 Zn
0.361 0.250 0.403 Zn

***

BaZn5Au7 | Alexandria via LeMat-Bulk | GGA-PBE | optimized geometry; symmetry = Imm2, No. 44; calculated formation energy = -0.2829 eV/atom; uncorrected energy = -2.686 eV per atom; magnetization = 0.000 μB/f.u.
1.0
5.407 0.000 0.000
2.704 6.697 -0.065
2.704 -0.086 6.697
Au Zn Ba
7 5 1
Direct
0.645 0.355 0.355 Au
0.333 0.667 0.667 Au
0.270 0.230 0.230 Au
0.993 0.661 0.354 Au
0.993 0.354 0.661 Au
0.512 0.778 0.198 Au
0.512 0.198 0.778 Au
0.500 0.995 0.496 Zn
0.009 0.995 0.496 Zn
0.500 0.496 0.995 Zn
0.009 0.496 0.995 Zn
0.733 0.767 0.767 Zn
0.992 0.008 0.008 Ba

***

Ba3Zn7Au4 | Alexandria via LeMat-Bulk | GGA-PBE | optimized geometry; symmetry = C2/m, No. 12; calculated formation energy = -0.3966 eV/atom; uncorrected energy = -2.382 eV per atom; magnetization = 0.000 μB/f.u.
1.0
0.147 4.440 0.559
-6.034 1.648 6.423
3.494 1.039 8.755
Zn Au Ba
7 4 3
Direct
0.000 0.000 0.000 Zn
0.328 0.833 0.511 Zn
0.510 0.168 0.812 Zn
0.672 0.167 0.489 Zn
0.105 0.678 0.113 Zn
0.895 0.322 0.887 Zn
0.490 0.832 0.188 Zn
0.876 0.917 0.331 Au
0.364 0.504 0.767 Au
0.636 0.496 0.233 Au
0.124 0.083 0.669 Au
0.000 0.500 0.500 Ba
0.293 0.231 0.184 Ba
0.707 0.769 0.816 Ba

***

BaZn2Au3 | Alexandria via LeMat-Bulk | GGA-PBE | optimized geometry; symmetry = Cmcm, No. 63; calculated formation energy = -0.5150 eV/atom; uncorrected energy = -2.899 eV per atom; magnetization = 0.000 μB/f.u.
1.0
-1.001 -4.409 -3.245
3.817 -4.065 4.347
-6.537 -0.468 2.653
Zn Au Ba
4 6 2
Direct
0.000 0.203 0.797 Zn
0.500 0.203 0.797 Zn
0.000 0.797 0.203 Zn
0.500 0.797 0.203 Zn
0.750 0.091 0.476 Au
0.250 0.928 0.928 Au
0.750 0.072 0.072 Au
0.750 0.476 0.091 Au
0.250 0.524 0.909 Au
0.250 0.909 0.524 Au
0.250 0.318 0.318 Ba
0.750 0.682 0.682 Ba

***

BaZn12Au6 | Alexandria via LeMat-Bulk | GGA-PBE | optimized geometry; symmetry = R-3m, No. 166; calculated formation energy = -0.2437 eV/atom; uncorrected energy = -2.184 eV per atom; magnetization = 0.000 μB/f.u.
1.0
-3.080 -6.697 0.148
7.230 -1.364 -0.478
-0.894 2.535 6.865
Au Zn Ba
6 12 1
Direct
0.275 0.275 0.702 Au
0.725 0.298 0.725 Au
0.725 0.725 0.298 Au
0.298 0.725 0.725 Au
0.702 0.275 0.275 Au
0.275 0.702 0.275 Au
0.867 0.598 0.598 Zn
0.500 0.890 0.110 Zn
0.890 0.110 0.500 Zn
0.110 0.500 0.890 Zn
0.110 0.890 0.500 Zn
0.402 0.133 0.402 Zn
0.500 0.110 0.890 Zn
0.598 0.867 0.598 Zn
0.890 0.500 0.110 Zn
0.598 0.598 0.867 Zn
0.402 0.402 0.133 Zn
0.133 0.402 0.402 Zn
0.000 0.000 0.000 Ba

***

BaZnAu2 | Alexandria via LeMat-Bulk | GGA-PBE | optimized geometry; symmetry = P2/m, No. 10; calculated formation energy = -0.3690 eV/atom; uncorrected energy = -2.807 eV per atom; magnetization = 0.000 μB/f.u.
1.0
-0.015 -3.403 1.646
2.369 -1.285 -2.636
7.401 0.856 1.836
Au Zn Ba
2 1 1
Direct
0.000 0.995 0.944 Au
0.000 0.505 0.556 Au
0.500 0.750 0.750 Zn
0.500 0.250 0.250 Ba

***

BaZnAu2 | Alexandria via LeMat-Bulk | GGA-PBE | optimized geometry; symmetry = I4_1/amd, No. 141; calculated formation energy = -0.4439 eV/atom; uncorrected energy = -2.882 eV per atom; magnetization = 0.000 μB/f.u.
1.0
-0.963 -0.697 5.208
-1.156 -5.137 -0.901
7.340 -5.031 3.424
Au Ba Zn
4 2 2
Direct
0.376 0.125 0.250 Au
0.875 0.626 0.750 Au
0.374 0.625 0.250 Au
0.375 0.624 0.750 Au
0.000 0.000 0.000 Ba
0.750 0.250 0.500 Ba
0.250 0.750 0.500 Zn
0.500 0.500 0.000 Zn

***

BaZnAu2 | Alexandria via LeMat-Bulk | GGA-PBE | optimized geometry; symmetry = Pmm2, No. 25; calculated formation energy = -0.5155 eV/atom; uncorrected energy = -2.953 eV per atom; magnetization = 0.000 μB/f.u.
1.0
4.918 0.000 0.000
0.000 4.501 -0.009
0.000 0.010 5.152
Au Ba Zn
2 1 1
Direct
0.500 0.000 0.285 Au
0.000 0.000 0.967 Au
0.000 0.500 0.464 Ba
0.500 0.000 0.784 Zn